{
  "formula": "InAgAs2",
  "functional": "PBE",
  "state": "optimized geometry",
  "rho_g_cm3": 7.0,
  "space_group": "No. 44",
  "energy_ev_per_atom": -3.579,
  "lattice": [[6.4324, 0.0146, 0.0206], [4.0046, 5.0338, -0.0206], [-5.0371, -2.8991, 2.7566]],
  "species": ["In", "As", "Ag", "As"],
  "fractional_positions": [[0.4540, 0.4540, 0.0000], [0.0562, 0.0562, 0.0000], [0.7691, 0.2691, 0.5000], [0.2208, 0.7208, 0.5000]]
}